1 | First-principles (PBEsol) data for a relaxed TlRu2W crystal, as listed in Alexandria via LeMat-Bulk.

It has space group R3m (No. 160, hexagonal axes), with a = 2.8357 Å, b = 2.8357 Å, c = 27.3715 Å, α = 90.00°, β = 90.00° and γ = 120.00°. The inequivalent atoms are Tl at (0.0000, 0.0000, 0.0000), Ru at (0.0000, 0.0000, 0.4952), Ru at (0.0000, 0.0000, 0.7531) and W at (0.0000, 0.0000, 0.2401).

=====

2 | First-principles (PBEsol) data for a relaxed TlRu2W crystal, as listed in Alexandria via LeMat-Bulk.

It has space group C2/m (No. 12), with a = 9.0160 Å, b = 2.8720 Å, c = 5.0575 Å, α = 90.00°, β = 101.23° and γ = 90.00°. The inequivalent atoms are Tl at (0.0000, 0.0000, 0.0000), Ru at (0.2387, 0.0000, 0.7095) and W at (0.0000, 0.5000, 0.5000).

=====

3 | First-principles (PBEsol) data for a relaxed TlRu2W crystal, as listed in Alexandria via LeMat-Bulk.

It has space group P4/mmm (No. 123), with a = 2.9395 Å, b = 2.9395 Å, c = 7.3899 Å, α = 90.00°, β = 90.00° and γ = 90.00°. The inequivalent atoms are Tl at (0.0000, 0.0000, 0.0000), Ru at (0.5000, 0.5000, 0.2789) and W at (0.0000, 0.0000, 0.5000).

=====

On energetic grounds, 3 is preferred over the next structure by 229 meV per atom.

=====

1 | First-principles (PBEsol) data for a relaxed YTlRu2 crystal, as listed in Alexandria via LeMat-Bulk.

It has space group P2/m (No. 10), with a = 3.1622 Å, b = 4.4417 Å, c = 5.6449 Å, α = 90.00°, β = 95.52° and γ = 90.00°. The inequivalent atoms are Y at (0.0000, 0.0000, 0.0000), Tl at (0.5000, 0.0000, 0.5000) and Ru at (0.4254, 0.5000, 0.7926).

=====

2 | First-principles (PBEsol) data for a relaxed YTlRu2 crystal, as listed in Alexandria via LeMat-Bulk.

It has space group F-43m (No. 216), with a = 6.6450 Å, b = 6.6450 Å, c = 6.6450 Å, α = 90.00°, β = 90.00° and γ = 90.00°. The inequivalent atoms are Y at (0.0000, 0.0000, 0.0000), Tl at (0.2500, 0.2500, 0.2500), Ru at (0.0000, 0.0000, 0.5000) and Ru at (0.2500, 0.2500, 0.7500).

=====

On energetic grounds, 1 is preferred over the next structure by 45 meV per atom.

=====

1 | First-principles (PBEsol) data for a relaxed Y5Ru crystal, as listed in Alexandria via LeMat-Bulk.

It has space group C2/m (No. 12), with a = 12.0101 Å, b = 3.5053 Å, c = 8.2816 Å, α = 90.00°, β = 111.56° and γ = 90.00°. The inequivalent atoms are Y at (0.0000, 0.0000, 0.0000), Y at (0.1318, 0.5000, 0.3713), Y at (0.1637, 0.5000, 0.7867) and Ru at (0.0000, 0.0000, 0.5000).

=====

2 | First-principles (PBEsol) data for a relaxed Y5Ru crystal, as listed in Alexandria via LeMat-Bulk.

It has space group P4/mmm (No. 123), with a = 3.4219 Å, b = 3.4219 Å, c = 13.8083 Å, α = 90.00°, β = 90.00° and γ = 90.00°. The inequivalent atoms are Y at (0.0000, 0.0000, 0.0000), Y at (0.0000, 0.0000, 0.3830), Y at (0.5000, 0.5000, 0.1817) and Ru at (0.5000, 0.5000, 0.5000).

=====

On energetic grounds, 1 is preferred over the next structure by 11 meV per atom.

=====

1 | First-principles (PBEsol) data for a relaxed S crystal, as listed in Alexandria via LeMat-Bulk.

It has space group C2/c (No. 15), with a = 19.1956 Å, b = 9.4300 Å, c = 8.5973 Å, α = 90.00°, β = 99.50° and γ = 90.00°. The inequivalent atoms are S at (0.0496, 0.0220, 0.3154), S at (0.0496, 0.3912, 0.8149), S at (0.0519, 0.1859, 0.4773), S at (0.1050, 0.4412, 0.2397), S at (0.1323, 0.3184, 0.4377), S at (0.2039, 0.1702, 0.1602), S at (0.2092, 0.1990, 0.7897) and S at (0.2251, 0.0518, 0.9702).

=====

2 | First-principles (PBEsol) data for a relaxed S crystal, as listed in Alexandria via LeMat-Bulk.

It has space group R-3 (No. 148, hexagonal axes), with a = 10.4119 Å, b = 10.4119 Å, c = 4.2746 Å, α = 90.00°, β = 90.00° and γ = 120.00°. The inequivalent atoms are S at (0.0434, 0.8465, 0.1049).

=====

On energetic grounds, 1 is preferred over the next structure by 12 meV per atom.